Record 1
Crystalline LiAc2Cd3Sn4 at its relaxed geometry. Source: the Alexandria database, functional PBE.

The structure in POSCAR format:
```
LiAc2Cd3Sn4
1.0
4.845 0.000 0.000
0.000 4.845 0.000
0.000 0.000 11.931
Li Ac Cd Sn
1 2 3 4
direct
0.000 0.000 0.000
0.000 0.500 0.750
0.500 0.000 0.250
0.000 0.500 0.363
0.500 0.000 0.637
0.500 0.500 0.000
0.000 0.000 0.500
0.000 0.500 0.133
0.500 0.000 0.867
0.500 0.500 0.500
```

## Properties
For the density of states at the Fermi level, the calculation gives 3.7 states/eV/cell. The calculated formation energy comes out at -0.40 eV per atom. Its total energy is -3.286 eV per atom.

=====

Record 2
Crystalline SmDyCd4 at its relaxed geometry. Source: the Alexandria database, functional PBE.

The structure in POSCAR format:
```
SmDyCd4
1.0
3.435 0.000 0.000
0.000 5.012 0.000
0.000 0.000 8.681
Sm Dy Cd
1 1 4
direct
0.000 0.000 0.000
0.000 0.500 0.500
0.500 0.000 0.335
0.500 0.000 0.665
0.500 0.500 0.169
0.500 0.500 0.831
```

## Properties
For the density of states at the Fermi level, the calculation gives 4.3 states/eV/cell. For the distance to the lowest polymorph of the same formula, the calculation gives 0.0 meV/atom. The calculated formation energy comes out at -0.33 eV per atom. Its total energy is -2.489 eV per atom.